# 1
A relaxed SrCaEr4 crystal, computed with PBE-GGA. Values from VASP.

## Properties
- Formation enthalpy at 0 K: 0.2149 eV/atom

Geometry as Quantum ESPRESSO input:
```
&SYSTEM
  ibrav = 0, nat = 6, ntyp = 3
/
ATOMIC_SPECIES
Sr 87.62 Sr.upf
Er 167.26 Er.upf
Ca 40.08 Ca.upf
ATOMIC_POSITIONS crystal
Sr 0.250 0.250 0.250
Er 0.626 0.626 0.122
Er 0.626 0.626 0.626
Er 0.626 0.122 0.626
Er 0.122 0.626 0.626
Ca 0.000 0.000 0.000
CELL_PARAMETERS angstrom
6.783 0.000 0.000
3.391 5.874 0.000
3.391 1.958 5.538
```


# 2
A relaxed Sr2CaEr crystal, computed with PBE-GGA. Values from VASP.

## Properties
- ΔE to the lowest computed polymorph: 0 meV per atom
- Formation enthalpy at 0 K: 0.1623 eV/atom

Geometry as Quantum ESPRESSO input:
```
&SYSTEM
  ibrav = 0, nat = 4, ntyp = 3
/
ATOMIC_SPECIES
Sr 87.62 Sr.upf
Er 167.26 Er.upf
Ca 40.08 Ca.upf
ATOMIC_POSITIONS crystal
Sr 0.000 0.000 0.765
Sr 0.000 0.000 0.235
Er 0.500 0.500 0.000
Ca 0.500 0.500 0.500
CELL_PARAMETERS angstrom
-2.418 2.057 2.337
1.987 -1.259 3.164
6.849 8.909 -0.756
```


# 3
A relaxed SrCa2ErTl4 crystal, computed with PBE-GGA. Values from VASP.

## Properties
- Formation enthalpy at 0 K: -0.3909 eV/atom

Geometry as Quantum ESPRESSO input:
```
&SYSTEM
  ibrav = 0, nat = 8, ntyp = 4
/
ATOMIC_SPECIES
Sr 87.62 Sr.upf
Ca 40.08 Ca.upf
Tl 204.38 Tl.upf
Er 167.26 Er.upf
ATOMIC_POSITIONS crystal
Sr 0.000 0.000 0.000
Ca 0.250 0.250 0.251
Ca 0.750 0.750 0.749
Tl 0.873 0.873 0.382
Tl 0.620 0.620 0.141
Tl 0.380 0.380 0.859
Tl 0.127 0.127 0.618
Er 0.500 0.500 0.500
CELL_PARAMETERS angstrom
-3.175 -0.634 -4.472
-2.523 -4.821 -0.933
-9.088 1.034 2.897
```


# 4
A relaxed Ca2TbEr crystal, computed with PBE-GGA. Values from VASP.

## Properties
- ΔE to the lowest computed polymorph: 0 meV per atom
- Formation enthalpy at 0 K: 0.1881 eV/atom

Geometry as Quantum ESPRESSO input:
```
&SYSTEM
  ibrav = 0, nat = 4, ntyp = 3
/
ATOMIC_SPECIES
Ca 40.08 Ca.upf
Er 167.26 Er.upf
Tb 158.93 Tb.upf
ATOMIC_POSITIONS crystal
Ca 0.000 0.000 0.500
Ca 0.000 0.500 0.000
Er 0.500 0.000 0.000
Tb 0.500 0.500 0.500
CELL_PARAMETERS angstrom
5.539 0.000 0.000
0.000 5.044 0.000
0.000 0.000 5.044
```


# 5
A relaxed Ca2TbEr crystal, computed with PBE-GGA. Values from VASP.

## Properties
- ΔE to the lowest computed polymorph: 5 meV per atom
- Formation enthalpy at 0 K: 0.1932 eV/atom

Geometry as Quantum ESPRESSO input:
```
&SYSTEM
  ibrav = 0, nat = 4, ntyp = 3
/
ATOMIC_SPECIES
Ca 40.08 Ca.upf
Er 167.26 Er.upf
Tb 158.93 Tb.upf
ATOMIC_POSITIONS crystal
Ca 0.750 0.750 0.750
Ca 0.250 0.250 0.250
Er 0.000 0.000 0.000
Tb 0.500 0.500 0.500
CELL_PARAMETERS angstrom
-2.984 -1.332 4.827
2.470 -3.274 4.143
1.491 2.392 5.102
```


# 6
A relaxed CaTb5Er8 crystal, computed with PBE-GGA. Values from VASP.

## Properties
- Formation enthalpy at 0 K: 0.2406 eV/atom

Geometry as Quantum ESPRESSO input:
```
&SYSTEM
  ibrav = 0, nat = 14, ntyp = 3
/
ATOMIC_SPECIES
Er 167.26 Er.upf
Tb 158.93 Tb.upf
Ca 40.08 Ca.upf
ATOMIC_POSITIONS crystal
Er 0.671 0.396 0.923
Er 0.077 0.748 0.473
Er 0.161 0.740 0.084
Er 0.527 0.604 0.275
Er 0.344 0.260 0.421
Er 0.725 0.252 0.329
Er 0.916 0.077 0.656
Er 0.579 0.923 0.839
Tb 0.287 0.100 0.965
Tb 0.865 0.900 0.187
Tb 0.813 0.678 0.713
Tb 0.500 0.000 0.500
Tb 0.035 0.322 0.135
Ca 0.250 0.500 0.750
CELL_PARAMETERS angstrom
-4.291 0.483 -7.239
-3.611 -5.491 5.278
0.048 7.757 3.297
```


Repeat the fifth record exactly.
A relaxed Ca2TbEr crystal, computed with PBE-GGA. Values from VASP.

## Properties
- ΔE to the lowest computed polymorph: 5 meV per atom
- Formation enthalpy at 0 K: 0.1932 eV/atom

Geometry as Quantum ESPRESSO input:
```
&SYSTEM
  ibrav = 0, nat = 4, ntyp = 3
/
ATOMIC_SPECIES
Ca 40.08 Ca.upf
Er 167.26 Er.upf
Tb 158.93 Tb.upf
ATOMIC_POSITIONS crystal
Ca 0.750 0.750 0.750
Ca 0.250 0.250 0.250
Er 0.000 0.000 0.000
Tb 0.500 0.500 0.500
CELL_PARAMETERS angstrom
-2.984 -1.332 4.827
2.470 -3.274 4.143
1.491 2.392 5.102
```


Among the records above, which one has the highest formation enthalpy at 0 K?
CaTb5Er8


What is the formation enthalpy at 0 K in the sixth record?
0.2406 eV/atom